[1]
The following is a PBE calculation of a relaxed CaAl2Cu crystal, from the Alexandria database. Values from VASP.

Properties
Its space group is No. 8. The calculation puts the magnetization at 0.000 μB per atom. Its density of states at the Fermi level is 1.04 states/eV/f.u. The value obtained for the total DFT energy (no corrections) is -3.650 eV/atom.

```
&SYSTEM
  ibrav = 0, nat = 4, ntyp = 3
/
ATOMIC_SPECIES
Ca 40.08 Ca.upf
Al 26.98 Al.upf
Cu 63.55 Cu.upf
CELL_PARAMETERS angstrom
3.6614 -2.1129 0.0000
3.6614 2.1129 0.0000
-2.4187 0.0000 5.4702
ATOMIC_POSITIONS crystal
Ca 0.0000 0.0000 0.0000
Al 0.2029 0.2029 0.6098
Al 0.4626 0.4626 0.3877
Cu 0.8124 0.8124 0.4376
```



[2]
The following is a PBE calculation of a relaxed CaErAlCu crystal, from the Alexandria database. Values from VASP.

Properties
Its space group is No. 216. The calculation puts the magnetization at 0.000 μB per atom. Its density of states at the Fermi level is 3.63 states/eV/f.u. The value obtained for the total DFT energy (no corrections) is -3.787 eV/atom.

```
&SYSTEM
  ibrav = 0, nat = 4, ntyp = 4
/
ATOMIC_SPECIES
Ca 40.08 Ca.upf
Er 167.26 Er.upf
Al 26.98 Al.upf
Cu 63.55 Cu.upf
CELL_PARAMETERS angstrom
0.0000 3.5768 3.5768
3.5768 0.0000 3.5768
3.5768 3.5768 0.0000
ATOMIC_POSITIONS crystal
Ca 0.0000 0.0000 0.0000
Er 0.5000 0.5000 0.5000
Al 0.2500 0.2500 0.2500
Cu 0.7500 0.7500 0.7500
```



no.,energy relative to the elements (eV/f.u.)
1,-1.0
2,-0.7